Crystalline BrCl2 at its relaxed geometry, computed with PBE.

a = 4.290 Å, b = 4.290 Å, c = 4.814 Å
α = 90.00°, β = 90.00°, γ = 120.00°
Element x y z (fractional)
Br (0.000, 0.000, 0.000)
Cl (0.333, 0.667, 0.316)
Cl (0.667, 0.333, 0.684)

Summary:
- DOS(E_F) (states/eV per cell) = 4.72
- V (Å³/f.u.) = 76.7
- raw total energy (eV per atom) = -1.21